MnTeS2 after structural relaxation, computed with GGA-PBE.

## Properties
The total moment is 2.73 μB per formula unit. The density of states at the Fermi level comes out at 4.20 states/eV per cell. The space-group type is Cc. The value obtained for the uncorrected formation energy is -0.1195 eV/atom. The final energy comes out at -5.261 eV/atom. As for the volume: 171.9 Å³/cell.

a b c (Å): 6.0767 6.0767 5.9930
angles (deg): 104.92 104.92 116.86
With the nearest neighbours (Å) after each atom.
Sites, in units of the cell vectors:
Mn  0.1115  0.8885  0.5000  4 S 2.28-2.34
Mn  0.8885  0.1115  0.0000  4 S 2.28-2.34
Te  0.6159  0.7865  0.2110  2 S 2.69-2.81, 2 Mn 2.74-2.77
Te  0.7865  0.6159  0.7110  2 S 2.69-2.81, 2 Mn 2.74-2.77
S  0.0221  0.5663  0.1244  2 Mn 2.31-2.34
S  0.1515  0.2538  0.4288  2 Mn 2.28-2.32
S  0.2538  0.1515  0.9288  2 Mn 2.28-2.32
S  0.5663  0.0221  0.6244  2 Mn 2.31-2.34